4
Lattice="5.002 0.000 0.000 0.000 5.002 0.000 0.000 0.000 3.350" Properties=species:S:1:pos:R:3 comment="TlTcSe2 | Alexandria via LeMat-Bulk | PBE-GGA | relaxed" dft_energy_ev_per_fu=-17.4 raw_formation_energy_ev_per_fu=2.31 m_tot_mub_per_fu=2.5 pbc="T T T"
Se 0.000 0.000 0.000
Tl 0.000 2.501 1.675
Se 2.501 2.501 0.000
Tc 2.501 0.000 1.675